First-principles (PBE+U) data for ReBMo2F after structural relaxation, as listed in Alexandria via LeMat-Bulk.

## Properties
total energy	-28.1	eV per cell
space-group type	P4/mmm
N(E_F)	0.80	states/eV/atom

Structure (CIF):
```
data_ReBMo2F
_space_group_name_H-M_alt 'P 1'
_space_group_IT_number 1
_cell_length_a 4.127
_cell_length_b 4.191
_cell_length_c 4.127
_cell_angle_alpha 90.00
_cell_angle_beta 90.00
_cell_angle_gamma 90.00
loop_
_space_group_symop_operation_xyz
'x,y,z'
loop_
_atom_site_label
_atom_site_fract_x
_atom_site_fract_y
_atom_site_fract_z
_atom_site_occupancy
B1 0.000 0.500 0.000 1
Re1 0.500 0.500 0.500 1
Mo1 0.000 0.000 0.500 1
Mo2 0.500 0.000 0.000 1
F1 0.000 0.000 0.000 1
```